# 1
Computed, not measured: crystalline KAgO2F at its relaxed geometry at the PBE level of DFT.

Computed properties:
- total moment (μB/cell) = 0.00

Cell lengths 4.053, 4.053, 4.663 Å; angles 90.00, 90.00, 90.00 degrees
Element x y z (fractional)
K (0.000, 0.000, 0.000)
Ag (0.500, 0.500, 0.500)
O (0.000, 0.500, 0.500)
O (0.500, 0.000, 0.500)
F (0.500, 0.500, 0.000)

# 2
Computed, not measured: crystalline Ag2AsSe at its relaxed geometry at the PBE level of DFT.

Computed properties:
- total moment (μB/cell) = 0.00

Cell lengths 6.330, 6.330, 6.330 Å; angles 148.63, 141.21, 50.71 degrees
Element x y z (fractional)
Ag (0.000, 0.000, 0.000)
Ag (0.674, 0.174, 0.500)
As (0.224, 0.724, 0.500)
Se (0.409, 0.409, 0.000)

# 3
Computed, not measured: crystalline La3ErZr2N6 at its relaxed geometry at the PBE level of DFT.

Computed properties:
- total moment (μB/cell) = 0.00

Cell lengths 5.996, 5.996, 6.202 Å; angles 99.26, 99.26, 119.99 degrees
Element x y z (fractional)
La (0.000, 0.000, 0.000)
La (0.334, 0.666, 0.000)
La (0.666, 0.334, 0.000)
Er (0.500, 0.500, 0.500)
Zr (0.166, 0.834, 0.500)
Zr (0.834, 0.166, 0.500)
N (0.083, 0.428, 0.284)
N (0.226, 0.226, 0.713)
N (0.428, 0.083, 0.284)
N (0.572, 0.917, 0.716)
N (0.774, 0.774, 0.287)
N (0.917, 0.572, 0.716)

Number 1: ΔE_f (raw) -0.66 eV per atom. Number 2: ΔE_f (raw) 0.16 eV per atom. Number 3: ΔE_f (raw) -1.53 eV per atom.